An optimized crystal structure of Li3FeO. Source: Alexandria via LeMat-Bulk, functional PBE+U.

Its energy above the lowest structure with this stoichiometry is 0.000 eV/f.u. The calculated density comes out at 2.44 Mg/m³. Its total moment is 3.0 Bohr magnetons per cell. As for the density of states at the Fermi level: 0.0 states/eV/f.u.

The space group is Pm-3m (No. 221) and the conventional cell measures 3.980, 3.980 and 3.980 Å, with angles of 90.00, 90.00 and 90.00 degrees. The distinct sites, in fractional coordinates, are Li at (0.000, 0.000, 0.500), Fe at (0.500, 0.500, 0.500) and O at (0.000, 0.000, 0.000).